(1)
! Ca3P2 | the Alexandria database | meta-GGA SCAN | single point on PBEsol structure; values from VASP
! space-group type	R-3m
! electronic total energy	-0.8116	Ry per atom
! energy of formation from the pure elements	-1.08	eV per atom
! total moment	0.00	μB per atom
&SYSTEM
  ibrav = 0, nat = 15, ntyp = 2
/
ATOMIC_SPECIES
Ca 40.08 Ca.upf
P 30.97 P.upf
CELL_PARAMETERS angstrom
4.3872 0.0000 0.0000
-2.1936 3.7994 0.0000
0.0000 0.0000 25.5706
ATOMIC_POSITIONS crystal
Ca 0.0000 0.0000 0.0000
Ca 0.0000 0.0000 0.2287
Ca 0.0000 0.0000 0.7713
Ca 0.3333 0.6667 0.4379
Ca 0.3333 0.6667 0.6667
Ca 0.3333 0.6667 0.8954
Ca 0.6667 0.3333 0.1046
Ca 0.6667 0.3333 0.3333
Ca 0.6667 0.3333 0.5621
P 0.0000 0.0000 0.3986
P 0.0000 0.0000 0.6014
P 0.3333 0.6667 0.0653
P 0.3333 0.6667 0.2680
P 0.6667 0.3333 0.7320
P 0.6667 0.3333 0.9347


(2)
! Ca5P8 | the Alexandria database | meta-GGA SCAN | single point on PBEsol structure; values from VASP
! space-group type	C2/m
! electronic total energy	-0.8208	Ry per atom
! energy of formation from the pure elements	-1.05	eV per atom
! total moment	0.00	μB per atom
&SYSTEM
  ibrav = 0, nat = 13, ntyp = 2
/
ATOMIC_SPECIES
Ca 40.08 Ca.upf
P 30.97 P.upf
CELL_PARAMETERS angstrom
3.4193 -5.8898 0.0000
3.4193 5.8898 0.0000
-2.2994 0.0000 7.0367
ATOMIC_POSITIONS crystal
Ca 0.0000 0.0000 0.0000
Ca 0.1653 0.8347 0.5000
Ca 0.3247 0.6753 0.0000
Ca 0.6753 0.3247 0.0000
Ca 0.8347 0.1653 0.5000
P 0.1131 0.4212 0.2601
P 0.2751 0.2751 0.7435
P 0.4212 0.1131 0.2601
P 0.4474 0.4474 0.3356
P 0.5526 0.5526 0.6644
P 0.5788 0.8869 0.7399
P 0.7249 0.7249 0.2565
P 0.8869 0.5788 0.7399


(3)
! CaP3 | the Alexandria database | meta-GGA SCAN | single point on PBEsol structure; values from VASP
! space-group type	Imm2
! electronic total energy	-0.7719	Ry per atom
! energy of formation from the pure elements	-0.29	eV per atom
! total moment	0.00	μB per atom
&SYSTEM
  ibrav = 0, nat = 8, ntyp = 2
/
ATOMIC_SPECIES
Ca 40.08 Ca.upf
P 30.97 P.upf
CELL_PARAMETERS angstrom
4.1929 0.0000 0.0000
0.0000 8.9052 0.0000
0.0000 0.0000 4.1839
ATOMIC_POSITIONS crystal
Ca 0.0000 0.0000 0.0000
Ca 0.5000 0.5000 0.5000
P 0.0000 0.2953 0.2729
P 0.0000 0.5000 0.9942
P 0.0000 0.7047 0.2729
P 0.5000 0.0000 0.4942
P 0.5000 0.2047 0.7729
P 0.5000 0.7953 0.7729